No. 1
# PmPrHo14, relaxed, DFT PBE
# Energy of formation from the pure elements ... 0.1 eV per formula unit
# M_tot ... 0.00 Bohr magnetons per cell
# Volume ... 503 Å³/f.u.
# D(E_F) ... 19.669 states/eV/f.u.
data_PmPrHo14
_chemical_formula_sum 'Pm2 Pr2 Ho28'
_space_group_name_H-M_alt 'A m m 2'
_space_group_IT_number 38
_space_group_name_Hall 'A 2 -2'
_cell_length_a 11.458
_cell_length_b 7.126
_cell_length_c 12.319
_cell_angle_alpha 90.00
_cell_angle_beta 90.00
_cell_angle_gamma 90.00
loop_
_atom_site_label
_atom_site_type_symbol
_atom_site_fract_x
_atom_site_fract_y
_atom_site_fract_z
_atom_site_occupancy
Pm1 Pm 0.000 0.000 0.000 1
Pr1 Pr 0.000 0.000 0.500 1
Ho1 Ho 0.000 0.250 0.250 1
Ho2 Ho 0.252 0.000 0.167 1
Ho3 Ho 0.252 0.000 0.667 1
Ho4 Ho 0.254 0.250 0.417 1
Ho5 Ho 0.500 0.000 0.333 1
Ho6 Ho 0.500 0.000 0.833 1
Ho7 Ho 0.500 0.250 0.084 1

***

No. 2
# Pm3Pr2Ho6, relaxed, DFT PBE
# Offset from the most stable computed form ... 0.0 meV/atom
# Energy of formation from the pure elements ... 2.0 eV per formula unit
# M_tot ... 0.00 Bohr magnetons per cell
# Volume ... 381 Å³/f.u.
# D(E_F) ... 15.815 states/eV/f.u.
data_Pm3Pr2Ho6
_chemical_formula_sum 'Pm6 Pr4 Ho12'
_space_group_name_H-M_alt 'C 1 2/m 1'
_space_group_IT_number 12
_space_group_name_Hall '-C 2y'
_cell_length_a 6.170
_cell_length_b 10.704
_cell_length_c 11.723
_cell_angle_alpha 90.00
_cell_angle_beta 100.16
_cell_angle_gamma 90.00
loop_
_atom_site_label
_atom_site_type_symbol
_atom_site_fract_x
_atom_site_fract_y
_atom_site_fract_z
_atom_site_occupancy
Pm1 Pm 0.000 0.000 0.000 1
Pm2 Pm 0.000 0.336 0.000 1
Pr1 Pr 0.000 0.167 0.500 1
Ho1 Ho 0.249 0.500 0.249 1
Ho2 Ho 0.250 0.167 0.249 1

***

No. 3
# Pm4Pr5Ho3, relaxed, DFT PBE
# Energy of formation from the pure elements ... 2.5 eV per formula unit
# M_tot ... 0.24 Bohr magnetons per cell
# Volume ... 419 Å³/f.u.
# D(E_F) ... 16.624 states/eV/f.u.
data_Pm4Pr5Ho3
_chemical_formula_sum 'Pm8 Pr10 Ho6'
_space_group_name_H-M_alt 'C 1 2/m 1'
_space_group_IT_number 12
_space_group_name_Hall '-C 2y'
_cell_length_a 11.535
_cell_length_b 5.573
_cell_length_c 13.535
_cell_angle_alpha 90.00
_cell_angle_beta 105.79
_cell_angle_gamma 90.00
loop_
_atom_site_label
_atom_site_type_symbol
_atom_site_fract_x
_atom_site_fract_y
_atom_site_fract_z
_atom_site_occupancy
Pm1 Pm 0.092 0.000 0.130 1
Pm2 Pm 0.230 0.000 0.395 1
Pr1 Pr 0.000 0.500 0.500 1
Pr2 Pr 0.138 0.500 0.964 1
Pr3 Pr 0.168 0.000 0.764 1
Ho1 Ho 0.000 0.000 0.500 1
Ho2 Ho 0.045 0.500 0.283 1

***

No. 4
# PmPrHo2, relaxed, DFT PBE
# Offset from the most stable computed form ... 7.6 meV/atom
# Energy of formation from the pure elements ... 0.1 eV per formula unit
# M_tot ... 0.00 Bohr magnetons per cell
# Volume ... 132 Å³/f.u.
# D(E_F) ... 6.335 states/eV/f.u.
data_PmPrHo2
_chemical_formula_sum 'Pm1 Pr1 Ho2'
_space_group_name_H-M_alt 'P 4/m m m'
_space_group_IT_number 123
_space_group_name_Hall '-P 4 2'
_cell_length_a 5.119
_cell_length_b 5.119
_cell_length_c 5.042
_cell_angle_alpha 90.00
_cell_angle_beta 90.00
_cell_angle_gamma 90.00
loop_
_atom_site_label
_atom_site_type_symbol
_atom_site_fract_x
_atom_site_fract_y
_atom_site_fract_z
_atom_site_occupancy
Pm1 Pm 0.000 0.000 0.000 1
Pr1 Pr 0.500 0.500 0.000 1
Ho1 Ho 0.000 0.500 0.500 1